No. 1
## Sm4AgRh2 (GGA-PBE)

Data for Sm4AgRh2 after structural relaxation.

- Symmetry: Fdd2
- Total moment: 0.000 μB/f.u.
- Energy of formation from the pure elements: -49.1 kJ per mole of atoms
- Density of states at the Fermi level: 5.10 states/eV/f.u.

Cell: 7.745 7.719 8.994 Å, 54.57 54.30 71.13°
Positions (direct):
1 Sm 0.063 0.937 0.182
2 Sm 0.068 0.432 0.187
3 Sm 0.167 0.532 0.716
4 Sm 0.432 0.068 0.313
5 Sm 0.532 0.167 0.586
6 Sm 0.534 0.664 0.083
7 Sm 0.664 0.534 0.718
8 Sm 0.937 0.063 0.818
9 Ag 0.674 0.674 0.326
10 Ag 0.924 0.924 0.576
11 Rh 0.169 0.430 0.451
12 Rh 0.300 0.799 0.820
13 Rh 0.430 0.169 0.950
14 Rh 0.799 0.300 0.081


No. 2
## Sm4SbAs3 (GGA-PBE)

Data for Sm4SbAs3 after structural relaxation.

- Calculated total energy: -6.023 eV per atom
- Symmetry: Pm-3m
- Total moment: 0.000 μB/f.u.
- Density of states at the Fermi level: 0.62 states/eV/f.u.

Cell: 6.057 6.057 6.057 Å, 90.00 90.00 90.00°
Positions (direct):
1 Sm 0.000 0.000 0.000
2 Sm 0.000 0.500 0.500
3 Sm 0.500 0.000 0.500
4 Sm 0.500 0.500 0.000
5 Sb 0.500 0.500 0.500
6 As 0.000 0.000 0.500
7 As 0.000 0.500 0.000
8 As 0.500 0.000 0.000